No. 1
# CrAuC3

A geometry-optimized CrAuC3 structure (GGA-PBE, the Alexandria database).

Summary:
ΔE to the lowest computed polymorph = 0 meV per atom
Fermi-level density of states = 0.318 states/eV/atom
formation energy from the elements = 1941.3 meV/atom

Cell: 3.8675 3.8675 3.8675 Å, 90.00 90.00 90.00°
With the nearest neighbours (Å) after each atom.
Space group Pm-3m (No. 221)
Asymmetric unit:
Cr 0.0000 0.0000 0.0000 (multiplicity 1)  6 C 1.93
Au 0.5000 0.5000 0.5000 (multiplicity 1)  12 C 2.73
C 0.0000 0.0000 0.5000 (multiplicity 3)  2 Cr 1.93

No. 2
# CrAuC2

A geometry-optimized CrAuC2 structure (GGA-PBE, the Alexandria database).

Summary:
ΔE to the lowest computed polymorph = 891 meV per atom
Fermi-level density of states = 0.539 states/eV/atom
formation energy from the elements = 1923.9 meV/atom

Cell: 5.4587 5.4587 5.4587 Å, 90.00 90.00 90.00°
With the nearest neighbours (Å) after each atom.
Space group Fm-3m (No. 225)
Asymmetric unit:
Cr 0.0000 0.0000 0.0000 (multiplicity 4)  8 C 2.36
Au 0.0000 0.0000 0.5000 (multiplicity 4)  8 C 2.36
C 0.2500 0.2500 0.2500 (multiplicity 8)  4 Cr 2.36, 4 Au 2.36

No. 3
# Cr2AuC2

A geometry-optimized Cr2AuC2 structure (GGA-PBE, the Alexandria database).

Summary:
ΔE to the lowest computed polymorph = 0 meV per atom
Fermi-level density of states = 0.914 states/eV/atom
formation energy from the elements = 449.3 meV/atom

Cell: 3.7126 3.7126 8.7907 Å, 90.00 90.00 90.00°
With the nearest neighbours (Å) after each atom.
Space group I4/mmm (No. 139)
Asymmetric unit:
Cr 0.0000 0.5000 0.2500 (multiplicity 4)  4 C 1.94
Au 0.0000 0.0000 0.0000 (multiplicity 2)  2 C 2.75, 8 Cr 2.88
C 0.0000 0.0000 0.3124 (multiplicity 4)  4 Cr 1.94

No. 4
# CrAu3C

A geometry-optimized CrAu3C structure (GGA-PBE, the Alexandria database).

Summary:
ΔE to the lowest computed polymorph = 1618 meV per atom
Fermi-level density of states = 1.439 states/eV/atom
formation energy from the elements = 2390.3 meV/atom

Cell: 4.8265 4.8265 4.8265 Å, 90.00 90.00 90.00°
With the nearest neighbours (Å) after each atom.
Space group Pm-3m (No. 221)
Asymmetric unit:
Cr 0.0000 0.0000 0.0000 (multiplicity 1)  6 Au 2.41
Au 0.0000 0.0000 0.5000 (multiplicity 3)  2 Cr 2.41
C 0.5000 0.5000 0.5000 (multiplicity 1)  12 Au 3.41

No. 5
# CrAuC3

A geometry-optimized CrAuC3 structure (GGA-PBE, the Alexandria database).

Summary:
ΔE to the lowest computed polymorph = 1438 meV per atom
Fermi-level density of states = 1.366 states/eV/atom
formation energy from the elements = 3379.8 meV/atom

Cell: 4.0381 4.0381 4.0381 Å, 90.00 90.00 90.00°
With the nearest neighbours (Å) after each atom.
Space group Pm-3m (No. 221)
Asymmetric unit:
Cr 0.0000 0.0000 0.0000 (multiplicity 1)  12 C 2.86
Au 0.5000 0.5000 0.5000 (multiplicity 1)  6 C 2.02
C 0.0000 0.5000 0.5000 (multiplicity 3)  2 Au 2.02

No. 6
# Hf2CrAuC

A geometry-optimized Hf2CrAuC structure (GGA-PBE, the Alexandria database).

Summary:
Fermi-level density of states = 0.807 states/eV/atom
formation energy from the elements = -448.3 meV/atom

Cell: 4.5238 4.5238 3.8395 Å, 90.00 90.00 90.00°
With the nearest neighbours (Å) after each atom.
Space group P4/mmm (No. 123)
Asymmetric unit:
Hf 0.0000 0.5000 0.0000 (multiplicity 2)  2 C 2.26
Cr 0.0000 0.0000 0.5000 (multiplicity 1)  2 C 1.92
Au 0.5000 0.5000 0.5000 (multiplicity 1)  8 Hf 2.97, 4 Cr 3.20
C 0.0000 0.0000 0.0000 (multiplicity 1)  2 Cr 1.92

No. 7
# Cr2HgAuC

A geometry-optimized Cr2HgAuC structure (GGA-PBE, the Alexandria database).

Summary:
Fermi-level density of states = 0.390 states/eV/atom
formation energy from the elements = 1344.4 meV/atom

Cell: 5.2821 5.2821 3.8334 Å, 90.00 90.00 90.00°
With the nearest neighbours (Å) after each atom.
Space group P4/mmm (No. 123)
Asymmetric unit:
Cr 0.0000 0.5000 0.0000 (multiplicity 2)  2 Au 2.64
Hg 0.0000 0.0000 0.5000 (multiplicity 1)  8 Cr 3.26
Au 0.5000 0.5000 0.0000 (multiplicity 1)  2 C 1.92
C 0.5000 0.5000 0.5000 (multiplicity 1)  2 Au 1.92

No. 8
# MgCrAu2C

A geometry-optimized MgCrAu2C structure (GGA-PBE, the Alexandria database).

Summary:
Fermi-level density of states = 1.013 states/eV/atom
formation energy from the elements = 1821.3 meV/atom

Cell: 4.8606 4.8606 3.9934 Å, 90.00 90.00 90.00°
With the nearest neighbours (Å) after each atom.
Space group P4/mmm (No. 123)
Asymmetric unit:
Mg 0.0000 0.0000 0.0000 (multiplicity 1)  2 C 2.00
Cr 0.5000 0.5000 0.5000 (multiplicity 1)  8 Au 3.15, 4 C 3.44
Au 0.0000 0.5000 0.0000 (multiplicity 2)  2 Mg 2.43
C 0.0000 0.0000 0.5000 (multiplicity 1)  2 Mg 2.00

No. 9
# V2CrAuC

A geometry-optimized V2CrAuC structure (GGA-PBE, the Alexandria database).

Summary:
Fermi-level density of states = 0.664 states/eV/atom
formation energy from the elements = -144.0 meV/atom

Cell: 4.0064 4.0064 3.9368 Å, 90.00 90.00 90.00°
With the nearest neighbours (Å) after each atom.
Space group P4/mmm (No. 123)
Asymmetric unit:
V 0.0000 0.5000 0.0000 (multiplicity 2)  2 C 2.00
Cr 0.0000 0.0000 0.5000 (multiplicity 1)  2 C 1.97
Au 0.5000 0.5000 0.5000 (multiplicity 1)  8 V 2.81, 4 Cr 2.83
C 0.0000 0.0000 0.0000 (multiplicity 1)  2 Cr 1.97, 4 V 2.00

No. 10
# Y2CrAuC

A geometry-optimized Y2CrAuC structure (GGA-PBE, the Alexandria database).

Summary:
Fermi-level density of states = 0.341 states/eV/atom
formation energy from the elements = -432.0 meV/atom

Cell: 5.0040 5.0040 3.8722 Å, 90.00 90.00 90.00°
With the nearest neighbours (Å) after each atom.
Space group P4/mmm (No. 123)
Asymmetric unit:
Y 0.0000 0.5000 0.0000 (multiplicity 2)  2 C 2.50
Cr 0.0000 0.0000 0.5000 (multiplicity 1)  2 C 1.94
Au 0.5000 0.5000 0.5000 (multiplicity 1)  8 Y 3.16, 4 Cr 3.54
C 0.0000 0.0000 0.0000 (multiplicity 1)  2 Cr 1.94

No. 11
# ZnCrAuC2

A geometry-optimized ZnCrAuC2 structure (GGA-PBE, the Alexandria database).

Summary:
Fermi-level density of states = 1.321 states/eV/atom
formation energy from the elements = 2511.7 meV/atom

Cell: 3.9012 3.9012 4.9444 Å, 90.00 90.00 90.00°
With the nearest neighbours (Å) after each atom.
Space group P4/mmm (No. 123)
Asymmetric unit:
Zn 0.0000 0.0000 0.0000 (multiplicity 1)  4 C 1.95
Cr 0.5000 0.5000 0.5000 (multiplicity 1)  4 Au 2.76
Au 0.0000 0.0000 0.5000 (multiplicity 1)  2 Zn 2.47, 4 Cr 2.76
C 0.0000 0.5000 0.0000 (multiplicity 2)  2 Zn 1.95

No. 12
# Zr2CrAuC

A geometry-optimized Zr2CrAuC structure (GGA-PBE, the Alexandria database).

Summary:
Fermi-level density of states = 0.884 states/eV/atom
formation energy from the elements = -406.6 meV/atom

Cell: 4.6050 4.6050 3.8362 Å, 90.00 90.00 90.00°
With the nearest neighbours (Å) after each atom.
Space group P4/mmm (No. 123)
Asymmetric unit:
Zr 0.0000 0.5000 0.0000 (multiplicity 2)  2 C 2.30
Cr 0.0000 0.0000 0.5000 (multiplicity 1)  2 C 1.92
Au 0.5000 0.5000 0.5000 (multiplicity 1)  8 Zr 3.00, 4 Cr 3.26
C 0.0000 0.0000 0.0000 (multiplicity 1)  2 Cr 1.92